A plane-wave DFT calculation with PBE-GGA was carried out for a geometry-optimized LiZn structure.

Calculated values
Electronic total energy, eV/cell: -14.0
Energy of formation from the pure elements, kJ/mol of formula units: -30.3
Magnetic moment, μB per atom: 0.000
N(E_F), states/eV/f.u.: 0.478
Calculated volume, A^3/atom: 14.648

Lattice parameters (Å, degrees): 2.547 10.703 4.299 90.00 90.00 90.00
Space group Cmcm (No. 63)
Inequivalent atoms, fractional coordinates:
Li  0.000  0.066  0.250
Zn  0.000  0.318  0.250